Compound: NaMg6MnO8
Source: Alexandria
Functional: PBE+U
Structure: optimized geometry

extended XYZ file:
```
16
Lattice="4.333 0.000 0.000 0.000 4.333 0.000 0.000 0.000 8.498" Properties=species:S:1:pos:R:3 pbc="T T T"
Na 0.000 0.000 0.000
Mg 0.000 2.166 2.044
Mg 0.000 2.166 6.454
Mg 2.166 0.000 2.044
Mg 2.166 0.000 6.454
Mg 2.166 2.166 0.000
Mg 2.166 2.166 4.249
Mn 0.000 0.000 4.249
O 0.000 0.000 2.331
O 0.000 0.000 6.167
O 0.000 2.166 0.000
O 0.000 2.166 4.249
O 2.166 0.000 0.000
O 2.166 0.000 4.249
O 2.166 2.166 2.153
O 2.166 2.166 6.345
```

Values from the calculation:
ΔE to the lowest computed polymorph = 0.000 eV/f.u.
magnetization = 0.2500 μB/atom
space group = P4/mmm (123)
DOS at the Fermi energy = 0.786 states/eV/cell
E = -96.05 eV/cell